[1]
Compound: ZnCuTe2N
Source: Alexandria via LeMat-Bulk
Functional: GGA-PBE
Structure: optimized geometry

It has space group P4/mmm (No. 123), with a = 5.548 Å, b = 5.548 Å, c = 3.524 Å, α = 90.00°, β = 90.00° and γ = 90.00°. The distinct sites, in fractional coordinates, are Zn at (0.000, 0.000, 0.000), Cu at (0.500, 0.500, 0.500), Te at (0.000, 0.500, 0.000) and N at (0.000, 0.000, 0.500).

Its energy above the most stable polymorph in this dataset is 0.239 eV/atom.


[2]
Compound: Zn2CuTeN
Source: Alexandria via LeMat-Bulk
Functional: GGA-PBE
Structure: optimized geometry

It has space group P4/mmm (No. 123), with a = 4.482 Å, b = 4.482 Å, c = 5.061 Å, α = 90.00°, β = 90.00° and γ = 90.00°. The distinct sites, in fractional coordinates, are Zn at (0.000, 0.500, 0.000), Cu at (0.000, 0.000, 0.000), Te at (0.000, 0.000, 0.500) and N at (0.500, 0.500, 0.500).

As for the total energy: -2.324 eV/atom.


[3]
Compound: ZrCuTe2N
Source: Alexandria via LeMat-Bulk
Functional: GGA-PBE
Structure: optimized geometry

It has space group P4/mmm (No. 123), with a = 5.772 Å, b = 5.772 Å, c = 3.960 Å, α = 90.00°, β = 90.00° and γ = 90.00°. The distinct sites, in fractional coordinates, are Zr at (0.000, 0.000, 0.000), Cu at (0.500, 0.500, 0.500), Te at (0.000, 0.500, 0.000) and N at (0.000, 0.000, 0.500).

Its energy above the most stable polymorph in this dataset is 0.082 eV/atom.


[4]
Compound: ZrCuTe2N
Source: Alexandria via LeMat-Bulk
Functional: GGA-PBE
Structure: optimized geometry

It has space group P4/mmm (No. 123), with a = 5.035 Å, b = 5.035 Å, c = 3.755 Å, α = 90.00°, β = 90.00° and γ = 90.00°. The distinct sites, in fractional coordinates, are Zr at (0.000, 0.000, 0.000), Cu at (0.500, 0.500, 0.000), Te at (0.000, 0.500, 0.500) and N at (0.500, 0.500, 0.500).

Its energy above the most stable polymorph in this dataset is 0.000 eV/atom.


| no. | N(E_F) (states/eV per atom) | magnetic moment (μB per atom) |
| --- | --- | --- |
| 1 | 1.15 | 0.0005 |
| 2 | 0.69 | 0.0000 |
| 3 | 1.04 | 0.0000 |
| 4 | 0.64 | 0.1657 |